Entry from Alexandria: crystalline CuHg2Rh2 at its relaxed geometry (PBE).

* crystal system: tetragonal
* energy of formation from the pure elements: 0.22 eV per atom

a = 6.491 Å, b = 6.491 Å, c = 4.236 Å
α = 90.00°, β = 90.00°, γ = 90.00°
Atoms (fractional coordinates):
Rh (0.362, 0.862, 0.000)
Rh (0.638, 0.138, 0.000)
Rh (0.138, 0.362, 0.000)
Rh (0.862, 0.638, 0.000)
Cu (0.000, 0.000, 0.000)
Cu (0.500, 0.500, 0.000)
Hg (0.670, 0.830, 0.500)
Hg (0.170, 0.670, 0.500)
Hg (0.830, 0.330, 0.500)
Hg (0.330, 0.170, 0.500)